Entry from Alexandria: a relaxed Mg4Zn7 crystal (PBE-GGA).

```
Mg4Zn7
1.0
13.180 0.118 0.099
12.161 5.081 0.099
3.132 0.643 14.309
Mg Zn
20 35
Direct
0.124 0.124 0.898 Mg
0.965 0.965 0.713 Mg
0.694 0.694 0.351 Mg
0.557 0.557 0.952 Mg
0.515 0.515 0.600 Mg
0.213 0.213 0.026 Mg
0.640 0.640 0.574 Mg
0.441 0.441 0.045 Mg
0.177 0.177 0.675 Mg
0.482 0.482 0.398 Mg
0.303 0.304 0.647 Mg
0.820 0.820 0.323 Mg
0.993 0.993 0.904 Mg
0.158 0.158 0.248 Mg
0.839 0.839 0.750 Mg
0.357 0.357 0.424 Mg
0.873 0.874 0.100 Mg
0.785 0.785 0.972 Mg
0.032 0.032 0.285 Mg
0.005 0.005 0.094 Mg
0.076 0.076 0.590 Zn
0.481 0.481 0.819 Zn
0.741 0.741 0.662 Zn
0.681 0.176 0.247 Zn
0.164 0.656 0.575 Zn
0.821 0.317 0.750 Zn
0.998 0.499 0.499 Zn
0.921 0.921 0.407 Zn
0.312 0.312 0.860 Zn
0.341 0.833 0.423 Zn
0.986 0.480 0.824 Zn
0.669 0.669 0.961 Zn
0.167 0.167 0.464 Zn
0.596 0.596 0.265 Zn
0.516 0.517 0.179 Zn
0.686 0.686 0.137 Zn
0.346 0.861 0.097 Zn
0.656 0.165 0.575 Zn
0.176 0.681 0.247 Zn
0.830 0.830 0.534 Zn
0.651 0.136 0.901 Zn
0.833 0.341 0.423 Zn
0.499 0.999 0.499 Zn
0.650 0.650 0.784 Zn
0.480 0.986 0.824 Zn
0.861 0.346 0.097 Zn
0.348 0.348 0.214 Zn
0.136 0.651 0.901 Zn
0.402 0.402 0.733 Zn
0.518 0.012 0.174 Zn
0.316 0.822 0.750 Zn
0.999 0.999 0.499 Zn
0.012 0.518 0.174 Zn
0.329 0.329 0.037 Zn
0.256 0.256 0.336 Zn
```

Properties
magnetic moment	0.000	μB/atom
volume	17.0	Å³/atom
energy of formation from the pure elements	-1.5	eV/f.u.